Here is a relaxed structure of AlHg2 from Alexandria via LeMat-Bulk. Energies are from PBE-GGA.

Cell: 3.792 17.148 4.303 Å, 90.00 90.00 90.00°
Fractional coordinates of all 12 atoms:
Al 0.000 0.060 0.250
Al 0.000 0.940 0.750
Al 0.500 0.440 0.750
Al 0.500 0.560 0.250
Hg 0.000 0.286 0.750
Hg 0.000 0.420 0.250
Hg 0.000 0.580 0.750
Hg 0.000 0.714 0.250
Hg 0.500 0.080 0.750
Hg 0.500 0.214 0.250
Hg 0.500 0.786 0.750
Hg 0.500 0.920 0.250

## Properties
* spin magnetization: 0.00 μB/atom
* E_tot: -1.280 eV per atom
* SG: No. 63